Record 1
Crystalline RbCuS at its relaxed geometry. Source: OQMD via LeMat-Bulk, functional PBE-GGA.

Crystal system: orthorhombic
E in eV per formula unit: -11.1
Calculated volume in Å³/cell: 368.6

a b c (Å): 5.0206 5.0539 14.5288
angles (deg): 90.00 90.00 90.00
Last column: nearest neighbours and their distance in Å.
Space group Amm2 (No. 38)
Inequivalent atoms, fractional coordinates:
Rb  0.0000  0.0000  0.0000 x2  5 S 3.29-3.59, 4 Cu 3.58
Rb  0.5000  0.0000  0.2973 x2  5 S 3.39-3.58, 4 Cu 3.52
Cu  0.2505  0.0000  0.6521 x4  2 S 2.16-2.17
S  0.0000  0.0000  0.7733 x2  2 Cu 2.16
S  0.5000  0.0000  0.5303 x2  2 Cu 2.17

Record 2
Crystalline Rb2Cu2Sb2S5 at its relaxed geometry. Source: OQMD via LeMat-Bulk, functional PBE-GGA.

Crystal system: monoclinic
E in eV per formula unit: -44.6
Calculated volume in Å³/cell: 1140.4

a b c (Å): 16.6463 10.4422 6.6573
angles (deg): 90.00 99.77 90.00
Last column: nearest neighbours and their distance in Å.
Space group P2_1/c (No. 14)
Inequivalent atoms, fractional coordinates:
Rb  0.0375  0.1390  0.2377 x4  6 S 3.27-3.47
Rb  0.4335  0.1169  0.2358 x4  8 S 3.36-3.62
Cu  0.1472  0.6503  0.0219 x4  3 S 2.29-2.34
Cu  0.2462  0.1386  0.5793 x4  4 S 2.35-2.40
Sb  0.2180  0.5351  0.5104 x4  3 S 2.45-2.52
Sb  0.3163  0.6492  0.1195 x4  3 S 2.41-2.55
S  0.1157  0.6586  0.6736 x4  2 Cu 2.29-2.34, 1 Sb 2.52
S  0.1315  0.0376  0.6894 x4  2 Cu 2.29-2.40, 1 Sb 2.48
S  0.2324  0.1582  0.2218 x4  2 Cu 2.35-2.36, 1 Sb 2.45
S  0.3758  0.0564  0.7203 x4  1 Cu 2.36, 1 Sb 2.41
S  0.4024  0.6908  0.8534 x4  2 Sb 2.50-2.55

Question: The highest E belongs to which entry?
Answer: RbCuS